[1]
K2TlTc | PBE | optimized geometry

Cell and atoms, written as CIF:
```
data_K2TlTc
_space_group_name_H-M_alt 'P 1'
_space_group_IT_number 1
_cell_length_a 3.823
_cell_length_b 3.823
_cell_length_c 10.225
_cell_angle_alpha 90.00
_cell_angle_beta 90.00
_cell_angle_gamma 90.00
loop_
_space_group_symop_operation_xyz
'x,y,z'
loop_
_atom_site_label
_atom_site_type_symbol
_atom_site_fract_x
_atom_site_fract_y
_atom_site_fract_z
K1 K 0.000 0.000 0.000
K2 K 0.500 0.500 0.403
Tl1 Tl 0.500 0.500 0.728
Tc1 Tc 0.000 0.000 0.676
```

**Fermi-level density of states**: 4.34 states/eV per cell
**Energy relative to the elements**: 0.69 eV/atom
**Electronic total energy**: -12.2 eV per formula unit
**Volume**: 37.4 A^3/atom
**Magnetization**: 0.297 μB/atom

***

[2]
Cd2SnAu3 | PBE | optimized geometry

Cell and atoms, written as CIF:
```
data_Cd2SnAu3
_space_group_name_H-M_alt 'P 1'
_space_group_IT_number 1
_cell_length_a 7.599
_cell_length_b 7.599
_cell_length_c 5.466
_cell_angle_alpha 102.07
_cell_angle_beta 102.07
_cell_angle_gamma 116.27
loop_
_space_group_symop_operation_xyz
'x,y,z'
loop_
_atom_site_label
_atom_site_type_symbol
_atom_site_fract_x
_atom_site_fract_y
_atom_site_fract_z
Cd1 Cd 0.053 0.947 0.750
Cd2 Cd 0.199 0.801 0.250
Cd3 Cd 0.801 0.199 0.750
Cd4 Cd 0.947 0.053 0.250
Sn1 Sn 0.406 0.594 0.750
Sn2 Sn 0.594 0.406 0.250
Au1 Au 0.000 0.500 0.500
Au2 Au 0.204 0.404 0.131
Au3 Au 0.404 0.204 0.631
Au4 Au 0.500 0.000 0.000
Au5 Au 0.596 0.796 0.369
Au6 Au 0.796 0.596 0.869
```

**Fermi-level density of states**: 3.97 states/eV per cell
**Energy relative to the elements**: -0.11 eV/atom
**Electronic total energy**: -16.3 eV per formula unit
**Volume**: 21.7 A^3/atom
**Magnetization**: 0.000 μB/atom

***

- Which value of magnetization does entry 1 give?
  0.297 μB/atom

***

- Which of these has the highest energy relative to the elements?
  K2TlTc

***

What did the second record say?
Cd2SnAu3 | PBE | optimized geometry

Cell and atoms, written as CIF:
```
data_Cd2SnAu3
_space_group_name_H-M_alt 'P 1'
_space_group_IT_number 1
_cell_length_a 7.599
_cell_length_b 7.599
_cell_length_c 5.466
_cell_angle_alpha 102.07
_cell_angle_beta 102.07
_cell_angle_gamma 116.27
loop_
_space_group_symop_operation_xyz
'x,y,z'
loop_
_atom_site_label
_atom_site_type_symbol
_atom_site_fract_x
_atom_site_fract_y
_atom_site_fract_z
Cd1 Cd 0.053 0.947 0.750
Cd2 Cd 0.199 0.801 0.250
Cd3 Cd 0.801 0.199 0.750
Cd4 Cd 0.947 0.053 0.250
Sn1 Sn 0.406 0.594 0.750
Sn2 Sn 0.594 0.406 0.250
Au1 Au 0.000 0.500 0.500
Au2 Au 0.204 0.404 0.131
Au3 Au 0.404 0.204 0.631
Au4 Au 0.500 0.000 0.000
Au5 Au 0.596 0.796 0.369
Au6 Au 0.796 0.596 0.869
```

**Fermi-level density of states**: 3.97 states/eV per cell
**Energy relative to the elements**: -0.11 eV/atom
**Electronic total energy**: -16.3 eV per formula unit
**Volume**: 21.7 A^3/atom
**Magnetization**: 0.000 μB/atom